(1)
Compound: BeP2Rh
Source: the Alexandria database
Functional: PBE
Structure: relaxed

For the total energy, the calculation gives -5.433 eV/atom. The formation energy is 0.04 eV/atom.

The structure belongs to space group C2/m (No. 12); the cell edges are 4.874, 6.698 and 3.217 Å and the angles 90.00°, 99.76° and 90.00°. The distinct sites, in fractional coordinates, are Be at (0.000, 0.000, 0.000), P at (0.250, 0.250, 0.500) and Rh at (0.000, 0.500, 0.000).


(2)
Compound: Mn2SbRh
Source: the Alexandria database
Functional: PBE
Structure: relaxed

For the total energy, the calculation gives -7.496 eV/atom. As for the formation energy without anion corrections: -0.04 eV per atom.

The structure belongs to space group I4/mmm (No. 139); the cell edges are 3.973, 3.973 and 8.032 Å and the angles 90.00°, 90.00° and 90.00°. The distinct sites, in fractional coordinates, are Mn at (0.000, 0.500, 0.250), Sb at (0.000, 0.000, 0.000) and Rh at (0.000, 0.000, 0.500).


(3)
Compound: Ga2GePt
Source: the Alexandria database
Functional: PBE
Structure: relaxed

For the total energy, the calculation gives -4.350 eV/atom. The formation energy is -0.17 eV/atom.

The structure belongs to space group R-3m (No. 166, hexagonal axes); the cell edges are 3.0497, 3.0497 and 26.7385 Å and the angles 90.00°, 90.00° and 120.00°. The distinct sites, in fractional coordinates, are Ga at (0.0000, 0.0000, 0.0946), Ge at (0.0000, 0.0000, 0.0000) and Pt at (0.0000, 0.0000, 0.5000).


(4)
Compound: TbPrTlAg
Source: the Alexandria database
Functional: PBE
Structure: relaxed

Its energy above the most stable polymorph in this dataset is 0.00 eV/f.u. For the total energy, the calculation gives -3.986 eV/atom. The formation energy is -0.33 eV/atom.

The structure belongs to space group P4mm (No. 99); the cell edges are 3.717, 3.717 and 7.928 Å and the angles 90.00°, 90.00° and 90.00°. The distinct sites, in fractional coordinates, are Tb at (0.000, 0.000, 0.000), Pr at (0.000, 0.000, 0.471), Tl at (0.500, 0.500, 0.745) and Ag at (0.500, 0.500, 0.210).


| no. | DOS at the Fermi energy (states/eV/f.u.) | magnetic moment (μB/f.u.) |
| --- | --- | --- |
| 1 | 1.4 | 0.00 |
| 2 | 3.3 | 7.35 |
| 3 | 1.5 | 0.00 |
| 4 | 3.7 | 0.09 |